[1]
Compound: Hg4Se2I5
Source: the Alexandria database
Functional: GGA-PBE
Structure: optimized geometry

Properties
Energy relative to the elements, uncorrected = -178 meV per atom
SG = P-1 (2)
Crystal system = triclinic

abc: 4.4779 9.7960 12.2148
angles: 103.12 106.55 78.21
Element x y z (fractional)
I 0.6039 0.2312 0.6921
I 0.8089 0.6620 0.6494
Hg 0.5617 0.4695 0.2573
I 0.5000 0.0000 0.0000
I 0.3961 0.7688 0.3079
Hg 0.4383 0.5305 0.7427
Hg 0.0465 0.7843 0.0655
Se 0.5391 0.6103 0.9793
I 0.1911 0.3380 0.3506
Se 0.4609 0.3897 0.0207
Hg 0.9535 0.2157 0.9345

***

[2]
Compound: Hg2SeI
Source: the Alexandria database
Functional: GGA-PBE
Structure: optimized geometry

Properties
Energy relative to the elements, uncorrected = -207 meV per atom
SG = P1 (1)
Excess energy over the best structure of this formula in the dataset = 0.001 eV/atom
Crystal system = triclinic

abc: 4.3729 6.3267 11.0001
angles: 81.58 79.94 88.93
Element x y z (fractional)
Se 0.7195 0.1691 0.3038
I 0.1314 0.6203 0.4989
Hg 0.6307 0.9266 0.5440
Hg 0.7895 0.9125 0.1303
Hg 0.4064 0.1235 0.7409
Hg 0.2390 0.4072 0.2390
I 0.8836 0.2958 0.8869
Se 0.3273 0.7262 0.0585

***

[3]
Compound: Hg2SeI2
Source: the Alexandria database
Functional: GGA-PBE
Structure: optimized geometry

Properties
Energy relative to the elements, uncorrected = 97 meV per atom
SG = P4/mbm (127)
Excess energy over the best structure of this formula in the dataset = 0.302 eV/atom
Crystal system = tetragonal

abc: 8.0076 8.0076 5.7591
angles: 90.00 90.00 90.00
Element x y z (fractional)
Hg 0.7773 0.2773 0.0000
I 0.6851 0.8149 0.5000
I 0.3149 0.1851 0.5000
Hg 0.2227 0.7227 0.0000
Hg 0.2773 0.2227 0.0000
I 0.1851 0.6851 0.5000
Se 0.0000 0.0000 0.0000
Hg 0.7227 0.7773 0.0000
I 0.8149 0.3149 0.5000
Se 0.5000 0.5000 0.0000

***

[4]
Compound: Hg2SeI
Source: the Alexandria database
Functional: GGA-PBE
Structure: optimized geometry

Properties
Energy relative to the elements, uncorrected = -187 meV per atom
SG = P1 (1)
Excess energy over the best structure of this formula in the dataset = 0.021 eV/atom
Crystal system = triclinic

abc: 6.3704 7.5622 7.6461
angles: 81.51 65.44 65.17
Element x y z (fractional)
Hg 0.4135 0.7727 0.5689
Se 0.6095 0.6681 0.8209
Hg 0.8556 0.8803 0.1476
I 0.2442 0.2819 0.9571
Hg 0.7279 0.9697 0.7459
I 0.4608 0.4587 0.3522
Hg 0.0457 0.3706 0.6522
Se 0.0730 0.0705 0.4882

***

[5]
Compound: Hg2SeI
Source: the Alexandria database
Functional: GGA-PBE
Structure: optimized geometry

Properties
Energy relative to the elements, uncorrected = -194 meV per atom
SG = P1 (1)
Excess energy over the best structure of this formula in the dataset = 0.014 eV/atom
Crystal system = triclinic

abc: 7.2551 7.3567 7.4187
angles: 102.62 119.20 106.44
Element x y z (fractional)
Hg 0.7969 0.6027 0.0204
Se 0.6945 0.9148 0.1150
I 0.8436 0.6176 0.6369
I 0.3279 0.2336 0.7697
Hg 0.3177 0.8177 0.7049
Hg 0.4366 0.7482 0.2290
Se 0.1535 0.5412 0.2988
Hg 0.3021 0.1220 0.2397

***

[6]
Compound: Hg2SeI
Source: the Alexandria database
Functional: GGA-PBE
Structure: optimized geometry

Properties
Energy relative to the elements, uncorrected = -110 meV per atom
SG = I-42d (122)
Excess energy over the best structure of this formula in the dataset = 0.098 eV/atom
Crystal system = tetragonal

abc: 6.6539 6.6539 8.4342
angles: 66.77 66.77 90.00
Element x y z (fractional)
Hg 0.3750 0.4376 0.7500
Se 0.2500 0.7500 0.5000
Hg 0.8750 0.8124 0.7500
I 0.0000 0.0000 0.0000
Hg 0.5624 0.1250 0.2500
Se 0.5000 0.5000 0.0000
Hg 0.1876 0.6250 0.2500
I 0.7500 0.2500 0.5000

***

[7]
Compound: Hg2SeI
Source: the Alexandria database
Functional: GGA-PBE
Structure: optimized geometry

Properties
Energy relative to the elements, uncorrected = -52 meV per atom
SG = R3m (160)
Excess energy over the best structure of this formula in the dataset = 0.156 eV/atom
Crystal system = trigonal

abc: 4.2321 4.2321 7.9832
angles: 74.63 74.63 60.00
Element x y z (fractional)
Hg 0.2647 0.2647 0.2058
Se 0.6710 0.6710 0.9870
I 0.4953 0.4953 0.5141
Hg 0.0690 0.0690 0.7931

***

[8]
Compound: HgSe2I
Source: the Alexandria database
Functional: GGA-PBE
Structure: optimized geometry

Properties
Energy relative to the elements, uncorrected = -70 meV per atom
SG = P1 (1)
Excess energy over the best structure of this formula in the dataset = 0.068 eV/atom
Crystal system = triclinic

abc: 4.5184 8.3069 9.0681
angles: 69.38 85.14 78.19
Element x y z (fractional)
Se 0.0478 0.1768 0.1854
Hg 0.9801 0.6216 0.4831
Se 0.4856 0.8350 0.4825
I 0.0700 0.9282 0.0677
Hg 0.5797 0.3910 0.0507
Se 0.4162 0.8690 0.7296
I 0.4052 0.3529 0.4551
Se 0.1672 0.6397 0.8950

***

[9]
Compound: HgSe2I
Source: the Alexandria database
Functional: GGA-PBE
Structure: optimized geometry

Properties
Energy relative to the elements, uncorrected = 77 meV per atom
SG = R-3m (166)
Excess energy over the best structure of this formula in the dataset = 0.215 eV/atom
Crystal system = trigonal

abc: 8.6943 8.6943 8.6943
angles: 28.22 28.22 28.22
Element x y z (fractional)
Se 0.8906 0.8906 0.8906
Hg 0.5000 0.5000 0.5000
I 0.0000 0.0000 0.0000
Se 0.1094 0.1094 0.1094

***

[10]
Compound: Hg2SeI
Source: the Alexandria database
Functional: GGA-PBE
Structure: optimized geometry

Properties
Energy relative to the elements, uncorrected = -208 meV per atom
SG = C2 (5)
Excess energy over the best structure of this formula in the dataset = 0.000 eV/atom
Crystal system = monoclinic

abc: 7.1152 8.9146 11.4911
angles: 90.00 126.97 90.00
Element x y z (fractional)
Hg 0.5000 0.6864 0.5000
Hg 0.9458 0.3485 0.3664
Hg 0.5000 0.1864 0.0000
Se 0.9422 0.6905 0.6680
Hg 0.0542 0.3485 0.6336
Hg 0.0000 0.8722 0.5000
I 0.4316 0.0367 0.6787
Hg 0.9458 0.8485 0.8664
Se 0.0578 0.1905 0.8320
Hg 0.0542 0.8485 0.1336
Se 0.0578 0.6905 0.3320
I 0.5684 0.5367 0.8213
Se 0.9422 0.1905 0.1680
I 0.5684 0.0367 0.3213
I 0.4316 0.5367 0.1787
Hg 0.0000 0.3722 0.0000

***

[11]
Compound: HgSeI3
Source: the Alexandria database
Functional: GGA-PBE
Structure: optimized geometry

Properties
Energy relative to the elements, uncorrected = -108 meV per atom
SG = P-1 (2)
Excess energy over the best structure of this formula in the dataset = 0.000 eV/atom
Crystal system = triclinic

abc: 4.7270 11.1101 13.9887
angles: 66.65 56.03 55.05
Element x y z (fractional)
Se 0.7148 0.1870 0.8637
Hg 0.0299 0.7919 0.4891
I 0.3660 0.9374 0.9977
I 0.3022 0.9914 0.3613
Se 0.3681 0.3588 0.7499
I 0.7807 0.5544 0.2523
Hg 0.0530 0.7539 0.1245
I 0.7169 0.6083 0.6159
I 0.7910 0.1949 0.5857
I 0.2919 0.3509 0.0279

***

[12]
Compound: Hg3Se2I2
Source: the Alexandria database
Functional: GGA-PBE
Structure: optimized geometry

Properties
Energy relative to the elements, uncorrected = -259 meV per atom
SG = Imma (74)
Excess energy over the best structure of this formula in the dataset = 0.000 eV/atom
Crystal system = orthorhombic

abc: 9.8816 10.0629 12.2580
angles: 114.23 113.77 90.00
Element x y z (fractional)
Hg 0.6549 0.6549 0.8099
Hg 0.2581 0.4662 0.5000
Se 0.3699 0.1302 0.7547
Hg 0.7419 0.9662 0.5000
Hg 0.7419 0.5338 0.5000
Se 0.8849 0.6302 0.7547
I 0.7457 0.4996 0.9992
I 0.2465 0.0004 0.0008
Se 0.1151 0.3698 0.2453
Se 0.6301 0.3755 0.2453
I 0.5118 0.7500 0.5000
Hg 0.6549 0.1549 0.8099
Hg 0.3451 0.8451 0.1901
Hg 0.3332 0.8796 0.7593
Hg 0.2581 0.0338 0.5000
Se 0.6301 0.8698 0.2453
I 0.9949 0.7500 0.5000
I 0.7535 0.9996 0.9992
Se 0.3699 0.6245 0.7547
Hg 0.0739 0.6204 0.2407
I 0.2543 0.5004 0.0008
Hg 0.9261 0.3796 0.7593
Se 0.8849 0.1245 0.7547
Hg 0.3451 0.3451 0.1901
Hg 0.6668 0.1204 0.2407
Se 0.1151 0.8755 0.2453
I 0.4882 0.2500 0.5000
I 0.0051 0.2500 0.5000